The following is a DFT calculation (GGA+U) of crystalline PrMnTeO6 at its relaxed geometry.

Summary:
* V: 243.0 Å³/cell
* raw total energy: -6.632 eV per atom

The structure in CIF format:
```
data_PrMnTeO6
_space_group_name_H-M_alt 'P -3 1 c'
_space_group_IT_number 163
_space_group_name_Hall '-P 3 2c'
_cell_length_a 5.7750
_cell_length_b 5.7750
_cell_length_c 8.4132
_cell_angle_alpha 90.00
_cell_angle_beta 90.00
_cell_angle_gamma 120.00
loop_
_atom_site_label
_atom_site_fract_x
_atom_site_fract_y
_atom_site_fract_z
Pr1 0.3333 0.6667 0.2500
Mn1 0.0000 0.0000 0.0000
Te1 0.3333 0.6667 0.7500
O1 0.0607 0.3731 0.6222
```